MnCu2As | the Alexandria database | PBE | optimized geometry; formation enthalpy at 0 K = 0.114 eV/atom; uncorrected energy = -5.389 eV per atom; D(E_F) = 2.1 states/eV per cell; crystal system = cubic; SG = No. 216; total magnetization = 0.869 μB/atom
1.0
-1.270 4.006 0.686
-3.957 1.186 -1.033
-2.838 0.839 3.061
As Cu Mn
1 2 1
Direct
0.500 0.500 0.500
0.250 0.250 0.250
0.000 0.000 0.000
0.750 0.750 0.750



RbUSe4 | the Alexandria database | PBE | optimized geometry; energy above the most stable polymorph in this dataset = 27 meV per atom; uncorrected energy = -5.227 eV per atom; D(E_F) = 3.1 states/eV per cell; ΔE_f (raw) = -0.862 eV/atom; crystal system = monoclinic; SG = No. 12; total magnetization = 0.167 μB/atom
1.0
4.741 0.220 -0.063
1.399 4.536 -0.063
0.824 0.638 9.086
Rb U Se
1 1 4
Direct
0.500 0.500 0.500
0.000 0.000 0.000
0.382 0.382 0.912
0.095 0.095 0.715
0.618 0.618 0.088
0.905 0.905 0.285



SrCa3Rh | the Alexandria database | PBE | optimized geometry; formation enthalpy at 0 K = -0.058 eV/atom; energy above the most stable polymorph in this dataset = 170 meV per atom; uncorrected energy = -3.065 eV per atom; D(E_F) = 14.7 states/eV per cell; crystal system = cubic; SG = No. 227; total magnetization = 0.000 μB/atom
1.0
-4.363 -3.161 9.222
-9.279 -5.287 -0.018
-0.238 -10.377 2.515
Ca Sr Rh
12 4 4
Direct
0.929 0.929 0.571
0.929 0.571 0.571
0.679 0.321 0.321
0.929 0.571 0.929
0.321 0.679 0.321
0.321 0.321 0.679
0.571 0.929 0.929
0.571 0.571 0.929
0.679 0.679 0.321
0.321 0.679 0.679
0.679 0.321 0.679
0.571 0.929 0.571
0.125 0.625 0.125
0.125 0.125 0.625
0.125 0.125 0.125
0.625 0.125 0.125
0.125 0.625 0.625
0.625 0.625 0.125
0.625 0.125 0.625
0.625 0.625 0.625



BaLaTi2 | the Alexandria database | PBE | optimized geometry; formation enthalpy at 0 K = 0.736 eV/atom; energy above the most stable polymorph in this dataset = 0 meV per atom; uncorrected energy = -4.924 eV per atom; D(E_F) = 5.2 states/eV per cell; crystal system = cubic; SG = No. 225; total magnetization = 0.000 μB/atom
1.0
-2.971 -3.194 3.155
-5.344 0.626 0.195
-3.226 -3.707 -2.198
La Ti Ba
1 2 1
Direct
0.500 0.500 0.500
0.250 0.250 0.250
0.750 0.750 0.750
0.000 0.000 0.000



CrMo2Pb | the Alexandria database | PBE | optimized geometry; formation enthalpy at 0 K = 0.600 eV/atom; uncorrected energy = -8.149 eV per atom; D(E_F) = 4.1 states/eV per cell; crystal system = tetragonal; SG = No. 139; total magnetization = 0.523 μB/atom
1.0
-1.149 -4.529 -2.460
1.803 -4.471 2.155
-2.626 4.283 1.626
Mo Cr Pb
2 1 1
Direct
0.000 0.000 0.000
0.500 0.500 0.000
0.750 0.250 0.500
0.250 0.750 0.500



Sc3TlN | the Alexandria database | PBE | optimized geometry; uncorrected energy = -6.904 eV per atom; D(E_F) = 7.7 states/eV per cell; ΔE_f (raw) = -0.967 eV/atom; crystal system = hexagonal; SG = No. 194; total magnetization = 0.127 μB/atom
1.0
-0.960 0.891 6.176
4.800 -2.283 1.075
1.925 5.344 2.756
N Sc Tl
2 6 2
Direct
0.514 0.159 0.047
0.514 0.659 0.047
0.196 0.409 0.206
0.355 0.909 0.365
0.672 0.409 0.206
0.355 0.909 0.888
0.672 0.409 0.730
0.831 0.909 0.888
0.847 0.909 0.381
0.180 0.409 0.714



FeCo2As | the Alexandria database | PBE | optimized geometry; formation enthalpy at 0 K = 0.071 eV/atom; uncorrected energy = -6.760 eV per atom; D(E_F) = 5.2 states/eV per cell; crystal system = orthorhombic; SG = No. 47; total magnetization = 1.156 μB/atom
1.0
2.959 0.000 0.000
0.000 4.025 0.000
0.000 0.000 3.975
As Fe Co
1 1 2
Direct
0.000 0.500 0.500
0.500 0.000 0.500
0.500 0.500 0.000
0.000 0.000 0.000



MgPaCd6 | the Alexandria database | PBE | optimized geometry; formation enthalpy at 0 K = 0.340 eV/atom; uncorrected energy = -1.733 eV per atom; D(E_F) = 10.1 states/eV per cell; crystal system = trigonal; SG = No. 166; total magnetization = 0.222 μB/atom
1.0
0.180 -1.850 5.687
3.678 -4.445 1.585
6.764 2.960 3.896
Mg Cd Pa
1 6 1
Direct
0.000 0.000 0.000
0.930 0.930 0.699
0.070 0.070 0.301
0.930 0.440 0.699
0.440 0.930 0.699
0.560 0.070 0.301
0.070 0.560 0.301
0.500 0.500 0.500



NaPm2Cd | the Alexandria database | PBE | optimized geometry; formation enthalpy at 0 K = 0.008 eV/atom; energy above the most stable polymorph in this dataset = 18 meV per atom; uncorrected energy = -2.925 eV per atom; D(E_F) = 4.6 states/eV per cell; crystal system = tetragonal; SG = No. 123; total magnetization = 0.000 μB/atom
1.0
-3.148 2.429 -0.311
-0.904 -0.485 5.368
3.232 4.307 0.933
Cd Pm Na
1 2 1
Direct
0.500 0.000 0.000
0.000 0.500 0.000
0.000 0.000 0.500
0.500 0.500 0.500



ZnW | the Alexandria database | PBE | optimized geometry; formation enthalpy at 0 K = 1.164 eV/atom; energy above the most stable polymorph in this dataset = 1001 meV per atom; uncorrected energy = -5.950 eV per atom; D(E_F) = 0.9 states/eV per cell; crystal system = cubic; SG = No. 225; total magnetization = 0.000 μB/atom
1.0
3.587 0.000 0.000
1.794 3.107 0.000
1.794 1.036 2.929
W Zn
1 1
Direct
0.000 0.000 0.000
0.500 0.500 0.500



Y6P5Cl | the Alexandria database | PBE | optimized geometry; uncorrected energy = -7.313 eV per atom; D(E_F) = 2.5 states/eV per cell; ΔE_f (raw) = -1.673 eV/atom; crystal system = monoclinic; SG = No. 12; total magnetization = 0.000 μB/atom
1.0
6.856 0.171 1.044
1.687 5.836 3.402
0.115 0.069 6.950
Y P Cl
6 5 1
Direct
0.741 0.437 0.650
0.741 0.087 0.350
0.259 0.563 0.350
0.259 0.913 0.650
0.259 0.264 0.000
0.741 0.736 0.000
0.500 0.838 0.323
0.500 0.500 0.000
0.000 0.667 0.665
0.500 0.162 0.677
0.000 0.333 0.335
0.000 0.000 0.000



TiBi2C | the Alexandria database | PBE | optimized geometry; formation enthalpy at 0 K = 1.119 eV/atom; uncorrected energy = -5.101 eV per atom; D(E_F) = 8.7 states/eV per cell; crystal system = tetragonal; SG = No. 122; total magnetization = 0.388 μB/atom
1.0
-2.116 0.267 -6.260
4.960 -3.965 -1.846
-1.133 -5.378 -3.340
Bi Ti C
4 2 2
Direct
0.558 0.125 0.250
0.875 0.808 0.750
0.375 0.442 0.750
0.192 0.625 0.250
0.000 0.000 0.000
0.750 0.250 0.500
0.500 0.500 0.000
0.250 0.750 0.500